VASP calculation (PBE-GGA) on a relaxed CaHfZn crystal.

Values from the calculation:
Density ... 5.74 Mg/m³
Magnetic moment ... 0.000 μB/atom
Formation energy ... 0.298 eV per atom
Polymorph energy (0 for the lowest one) ... 27.0 kJ/mol of atoms
Total DFT energy (no corrections) ... -24.668 eV/cell

abc: 4.819 4.819 7.078
angles: 90.00 90.00 90.00
Positions (direct):
Ca1 0.250 0.250 0.174
Ca2 0.750 0.750 0.826
Hf1 0.250 0.250 0.656
Hf2 0.750 0.750 0.344
Zn1 0.250 0.750 0.500
Zn2 0.750 0.250 0.500